(1)
The following is a DFT calculation (PBE) of a relaxed structure of BaPrBrO2.

Geometry as CIF:
```
data_BaPrBrO2
_space_group_name_H-M_alt 'P 1'
_space_group_IT_number 1
_cell_length_a 4.387
_cell_length_b 4.386
_cell_length_c 7.160
_cell_angle_alpha 90.00
_cell_angle_beta 90.00
_cell_angle_gamma 90.00
loop_
_space_group_symop_operation_xyz
'x,y,z'
loop_
_atom_site_label
_atom_site_type_symbol
_atom_site_fract_x
_atom_site_fract_y
_atom_site_fract_z
O1 O 0.500 0.000 0.910
O2 O 0.000 0.500 0.910
Pr1 Pr 0.000 0.000 0.023
Br1 Br 0.000 0.000 0.448
Ba1 Ba 0.500 0.500 0.709
```

Summary:
The uncorrected formation energy is -13.95 eV/f.u. The space group is P4mm, No. 99. As for the crystal system: tetragonal.


(2)
The following is a DFT calculation (PBE) of a relaxed structure of MgMnIr.

Geometry as CIF:
```
data_MgMnIr
_space_group_name_H-M_alt 'P 1'
_space_group_IT_number 1
_cell_length_a 2.765
_cell_length_b 4.614
_cell_length_c 7.331
_cell_angle_alpha 82.38
_cell_angle_beta 100.87
_cell_angle_gamma 72.58
loop_
_space_group_symop_operation_xyz
'x,y,z'
loop_
_atom_site_label
_atom_site_type_symbol
_atom_site_fract_x
_atom_site_fract_y
_atom_site_fract_z
Mg1 Mg 0.144 0.246 0.676
Mg2 Mg 0.023 0.694 0.882
Mn1 Mn 0.474 0.237 0.326
Mn2 Mn 0.694 0.703 0.231
Ir1 Ir 0.865 0.179 0.050
Ir2 Ir 0.302 0.761 0.507
```

Summary:
The space group is C2/m, No. 12. The formation energy comes out at -0.1 eV/f.u. As for the crystal system: monoclinic.


(3)
The following is a DFT calculation (PBE) of a relaxed structure of Ac3CdRh.

Geometry as CIF:
```
data_Ac3CdRh
_space_group_name_H-M_alt 'P 1'
_space_group_IT_number 1
_cell_length_a 5.770
_cell_length_b 5.770
_cell_length_c 5.770
_cell_angle_alpha 90.00
_cell_angle_beta 90.00
_cell_angle_gamma 90.00
loop_
_space_group_symop_operation_xyz
'x,y,z'
loop_
_atom_site_label
_atom_site_type_symbol
_atom_site_fract_x
_atom_site_fract_y
_atom_site_fract_z
Ac1 Ac 0.000 0.500 0.000
Ac2 Ac 0.500 0.000 0.000
Ac3 Ac 0.000 0.000 0.500
Rh1 Rh 0.000 0.000 0.000
Cd1 Cd 0.500 0.500 0.500
```

Summary:
For the relative energy among the computed polymorphs, the calculation gives 48 kJ/mol of formula units. The space group is Pm-3m, No. 221. The formation energy comes out at -1.6 eV/f.u. As for the crystal system: cubic.


(4)
The following is a DFT calculation (PBE) of a relaxed structure of BaPaCoN3.

Geometry as CIF:
```
data_BaPaCoN3
_space_group_name_H-M_alt 'P 1'
_space_group_IT_number 1
_cell_length_a 3.595
_cell_length_b 7.693
_cell_length_c 7.790
_cell_angle_alpha 103.65
_cell_angle_beta 90.00
_cell_angle_gamma 90.00
loop_
_space_group_symop_operation_xyz
'x,y,z'
loop_
_atom_site_label
_atom_site_type_symbol
_atom_site_fract_x
_atom_site_fract_y
_atom_site_fract_z
N1 N 0.750 0.459 0.135
N2 N 0.250 0.541 0.865
N3 N 0.250 0.154 0.854
N4 N 0.750 0.157 0.550
N5 N 0.750 0.846 0.146
N6 N 0.250 0.843 0.450
Ba1 Ba 0.250 0.184 0.222
Ba2 Ba 0.750 0.816 0.778
Co1 Co 0.750 0.931 0.404
Co2 Co 0.250 0.069 0.596
Pa1 Pa 0.750 0.337 0.837
Pa2 Pa 0.250 0.663 0.163
```

Summary:
The uncorrected formation energy is -5.53 eV/f.u. The space group is P2_1/m, No. 11. As for the crystal system: monoclinic.


(5)
The following is a DFT calculation (PBE) of a relaxed structure of Cu2IrPd.

Geometry as CIF:
```
data_Cu2IrPd
_space_group_name_H-M_alt 'P 1'
_space_group_IT_number 1
_cell_length_a 2.711
_cell_length_b 2.711
_cell_length_c 8.731
_cell_angle_alpha 81.07
_cell_angle_beta 81.07
_cell_angle_gamma 60.00
loop_
_space_group_symop_operation_xyz
'x,y,z'
loop_
_atom_site_label
_atom_site_type_symbol
_atom_site_fract_x
_atom_site_fract_y
_atom_site_fract_z
Cu1 Cu 0.251 0.251 0.248
Cu2 Cu 0.749 0.749 0.752
Pd1 Pd 0.500 0.500 0.500
Ir1 Ir 0.000 0.000 0.000
```

Summary:
For the relative energy among the computed polymorphs, the calculation gives 0 kJ/mol of formula units. The space group is R-3m, No. 166. The formation energy comes out at 0.1 eV/f.u. As for the crystal system: trigonal.


(6)
The following is a DFT calculation (PBE) of a relaxed structure of V2Mo7W2.

Geometry as CIF:
```
data_V2Mo7W2
_space_group_name_H-M_alt 'P 1'
_space_group_IT_number 1
_cell_length_a 6.754
_cell_length_b 5.330
_cell_length_c 5.330
_cell_angle_alpha 108.10
_cell_angle_beta 83.41
_cell_angle_gamma 83.41
loop_
_space_group_symop_operation_xyz
'x,y,z'
loop_
_atom_site_label
_atom_site_type_symbol
_atom_site_fract_x
_atom_site_fract_y
_atom_site_fract_z
V1 V 0.828 0.419 0.419
V2 V 0.172 0.581 0.581
W1 W 0.500 0.752 0.248
W2 W 0.500 0.248 0.752
Mo1 Mo 0.169 0.552 0.081
Mo2 Mo 0.831 0.919 0.448
Mo3 Mo 0.513 0.243 0.243
Mo4 Mo 0.169 0.081 0.552
Mo5 Mo 0.487 0.757 0.757
Mo6 Mo 0.831 0.448 0.919
Mo7 Mo 0.000 0.000 0.000
```

Summary:
For the relative energy among the computed polymorphs, the calculation gives 0 kJ/mol of formula units. The space group is C2/m, No. 12. The formation energy comes out at 3.3 eV/f.u. As for the crystal system: monoclinic.


| no. | VASP energy (eV per atom) | total magnetization (Bohr magnetons per cell) |
| --- | --- | --- |
| 1 | -6.449 | 0.00 |
| 2 | -6.588 | 0.00 |
| 3 | -4.430 | 0.00 |
| 4 | -8.171 | 1.99 |
| 5 | -5.535 | 0.00 |
| 6 | -10.607 | 0.00 |